Density functional theory data (PBEsol) for an optimized crystal structure of CsTiNb2Re.

Geometry as CIF:
```
data_CsTiNb2Re
_space_group_name_H-M_alt 'P 4/m m m'
_space_group_IT_number 123
_space_group_name_Hall '-P 4 2'
_cell_length_a 4.9120
_cell_length_b 4.9120
_cell_length_c 4.6522
_cell_angle_alpha 90.00
_cell_angle_beta 90.00
_cell_angle_gamma 90.00
loop_
_atom_site_label
_atom_site_fract_x
_atom_site_fract_y
_atom_site_fract_z
Cs1 0.0000 0.0000 0.0000
Ti1 0.0000 0.0000 0.5000
Nb1 0.0000 0.5000 0.0000
Re1 0.5000 0.5000 0.5000
```

Values from the calculation:
* N(E_F): 9.06 states/eV/cell
* crystal system: tetragonal
* energy of formation from the pure elements: 3032.8 meV per atom
* energy: -5.82 eV/atom

---

Density functional theory data (PBEsol) for an optimized crystal structure of CsNb3S.

Geometry as CIF:
```
data_CsNb3S
_space_group_name_H-M_alt 'P m -3 m'
_space_group_IT_number 221
_space_group_name_Hall '-P 4 2 3'
_cell_length_a 4.9808
_cell_length_b 4.9808
_cell_length_c 4.9808
_cell_angle_alpha 90.00
_cell_angle_beta 90.00
_cell_angle_gamma 90.00
loop_
_atom_site_label
_atom_site_fract_x
_atom_site_fract_y
_atom_site_fract_z
Cs1 0.0000 0.0000 0.0000
Nb1 0.0000 0.0000 0.5000
S1 0.5000 0.5000 0.5000
```

Values from the calculation:
* N(E_F): 3.65 states/eV/cell
* crystal system: cubic
* energy: -4.77 eV/atom

---

Density functional theory data (PBEsol) for an optimized crystal structure of CsNbSb3.

Geometry as CIF:
```
data_CsNbSb3
_space_group_name_H-M_alt 'P m -3 m'
_space_group_IT_number 221
_space_group_name_Hall '-P 4 2 3'
_cell_length_a 5.7867
_cell_length_b 5.7867
_cell_length_c 5.7867
_cell_angle_alpha 90.00
_cell_angle_beta 90.00
_cell_angle_gamma 90.00
loop_
_atom_site_label
_atom_site_fract_x
_atom_site_fract_y
_atom_site_fract_z
Cs1 0.0000 0.0000 0.0000
Nb1 0.5000 0.5000 0.5000
Sb1 0.0000 0.0000 0.5000
```

Values from the calculation:
* N(E_F): 4.97 states/eV/cell
* crystal system: cubic
* energy: -2.90 eV/atom

---

Density functional theory data (PBEsol) for an optimized crystal structure of Cs2ScNbTc.

Geometry as CIF:
```
data_Cs2ScNbTc
_space_group_name_H-M_alt 'P 4/m m m'
_space_group_IT_number 123
_space_group_name_Hall '-P 4 2'
_cell_length_a 5.9597
_cell_length_b 5.9597
_cell_length_c 5.0448
_cell_angle_alpha 90.00
_cell_angle_beta 90.00
_cell_angle_gamma 90.00
loop_
_atom_site_label
_atom_site_fract_x
_atom_site_fract_y
_atom_site_fract_z
Cs1 0.0000 0.5000 0.0000
Sc1 0.0000 0.0000 0.5000
Nb1 0.0000 0.0000 0.0000
Tc1 0.5000 0.5000 0.5000
```

Values from the calculation:
* N(E_F): 6.72 states/eV/cell
* crystal system: tetragonal
* energy of formation from the pure elements: 2240.2 meV per atom
* energy: -3.88 eV/atom

---

Density functional theory data (PBEsol) for an optimized crystal structure of CsNbSe3.

Geometry as CIF:
```
data_CsNbSe3
_space_group_name_H-M_alt 'P 3 1 c'
_space_group_IT_number 159
_cell_length_a 8.3077
_cell_length_b 8.3077
_cell_length_c 6.2982
_cell_angle_alpha 90.00
_cell_angle_beta 90.00
_cell_angle_gamma 120.00
loop_
_space_group_symop_operation_xyz
'x,y,z'
'-y,x-y,z'
'-x+y,-x,z'
'y,x,z+1/2'
'x-y,-y,z+1/2'
'-x,-x+y,z+1/2'
loop_
_atom_site_label
_atom_site_fract_x
_atom_site_fract_y
_atom_site_fract_z
Cs1 0.3333 0.6667 0.0000
Nb1 0.0000 0.0000 0.4609
Se1 0.0214 0.7676 0.7073
```

Values from the calculation:
* crystal system: trigonal
* energy: -5.61 eV/atom

---

Density functional theory data (PBEsol) for an optimized crystal structure of CsSrNb3.

Geometry as CIF:
```
data_CsSrNb3
_space_group_name_H-M_alt 'P m -3 m'
_space_group_IT_number 221
_space_group_name_Hall '-P 4 2 3'
_cell_length_a 5.1736
_cell_length_b 5.1736
_cell_length_c 5.1736
_cell_angle_alpha 90.00
_cell_angle_beta 90.00
_cell_angle_gamma 90.00
loop_
_atom_site_label
_atom_site_fract_x
_atom_site_fract_y
_atom_site_fract_z
Cs1 0.0000 0.0000 0.0000
Sr1 0.5000 0.5000 0.5000
Nb1 0.0000 0.5000 0.5000
```

Values from the calculation:
* N(E_F): 9.54 states/eV/cell
* crystal system: cubic
* energy of formation from the pure elements: 2776.6 meV per atom
* energy: -4.27 eV/atom

---

Density functional theory data (PBEsol) for an optimized crystal structure of CsTaNb3.

Geometry as CIF:
```
data_CsTaNb3
_space_group_name_H-M_alt 'P m -3 m'
_space_group_IT_number 221
_space_group_name_Hall '-P 4 2 3'
_cell_length_a 5.0550
_cell_length_b 5.0550
_cell_length_c 5.0550
_cell_angle_alpha 90.00
_cell_angle_beta 90.00
_cell_angle_gamma 90.00
loop_
_atom_site_label
_atom_site_fract_x
_atom_site_fract_y
_atom_site_fract_z
Cs1 0.0000 0.0000 0.0000
Ta1 0.5000 0.5000 0.5000
Nb1 0.0000 0.5000 0.5000
```

Values from the calculation:
* N(E_F): 6.64 states/eV/cell
* crystal system: cubic
* energy of formation from the pure elements: 1781.4 meV per atom
* energy: -7.41 eV/atom

---

Density functional theory data (PBEsol) for an optimized crystal structure of CsTaNb2.

Geometry as CIF:
```
data_CsTaNb2
_space_group_name_H-M_alt 'F m -3 m'
_space_group_IT_number 225
_space_group_name_Hall '-F 4 2 3'
_cell_length_a 6.8673
_cell_length_b 6.8673
_cell_length_c 6.8673
_cell_angle_alpha 90.00
_cell_angle_beta 90.00
_cell_angle_gamma 90.00
loop_
_atom_site_label
_atom_site_fract_x
_atom_site_fract_y
_atom_site_fract_z
Cs1 0.0000 0.0000 0.0000
Ta1 0.0000 0.0000 0.5000
Nb1 0.2500 0.2500 0.2500
```

Values from the calculation:
* N(E_F): 19.20 states/eV/cell
* crystal system: cubic
* energy of formation from the pure elements: 1510.7 meV per atom
* energy: -7.27 eV/atom

---

Density functional theory data (PBEsol) for an optimized crystal structure of CsTaTi2Nb.

Geometry as CIF:
```
data_CsTaTi2Nb
_space_group_name_H-M_alt 'P 4/m m m'
_space_group_IT_number 123
_space_group_name_Hall '-P 4 2'
_cell_length_a 5.0457
_cell_length_b 5.0457
_cell_length_c 4.9874
_cell_angle_alpha 90.00
_cell_angle_beta 90.00
_cell_angle_gamma 90.00
loop_
_atom_site_label
_atom_site_fract_x
_atom_site_fract_y
_atom_site_fract_z
Cs1 0.0000 0.0000 0.0000
Ta1 0.5000 0.5000 0.0000
Ti1 0.0000 0.5000 0.5000
Nb1 0.5000 0.5000 0.5000
```

Values from the calculation:
* N(E_F): 8.51 states/eV/cell
* crystal system: tetragonal
* energy of formation from the pure elements: 1480.4 meV per atom
* energy: -6.71 eV/atom

---

Density functional theory data (PBEsol) for an optimized crystal structure of CsNbTe2.

Geometry as CIF:
```
data_CsNbTe2
_space_group_name_H-M_alt 'F m -3 m'
_space_group_IT_number 225
_space_group_name_Hall '-F 4 2 3'
_cell_length_a 7.6412
_cell_length_b 7.6412
_cell_length_c 7.6412
_cell_angle_alpha 90.00
_cell_angle_beta 90.00
_cell_angle_gamma 90.00
loop_
_atom_site_label
_atom_site_fract_x
_atom_site_fract_y
_atom_site_fract_z
Cs1 0.0000 0.0000 0.0000
Nb1 0.0000 0.0000 0.5000
Te1 0.2500 0.2500 0.2500
```

Values from the calculation:
* N(E_F): 0.88 states/eV/cell
* crystal system: cubic
* energy: -4.55 eV/atom

---

Density functional theory data (PBEsol) for an optimized crystal structure of CsNbTe3.

Geometry as CIF:
```
data_CsNbTe3
_space_group_name_H-M_alt 'P m -3 m'
_space_group_IT_number 221
_space_group_name_Hall '-P 4 2 3'
_cell_length_a 5.4882
_cell_length_b 5.4882
_cell_length_c 5.4882
_cell_angle_alpha 90.00
_cell_angle_beta 90.00
_cell_angle_gamma 90.00
loop_
_atom_site_label
_atom_site_fract_x
_atom_site_fract_y
_atom_site_fract_z
Cs1 0.0000 0.0000 0.0000
Nb1 0.5000 0.5000 0.5000
Te1 0.0000 0.5000 0.5000
```

Values from the calculation:
* N(E_F): 3.10 states/eV/cell
* crystal system: cubic
* energy: -4.90 eV/atom

---

Density functional theory data (PBEsol) for an optimized crystal structure of CsNbTe3.

Geometry as CIF:
```
data_CsNbTe3
_space_group_name_H-M_alt 'P m -3 m'
_space_group_IT_number 221
_space_group_name_Hall '-P 4 2 3'
_cell_length_a 5.9433
_cell_length_b 5.9433
_cell_length_c 5.9433
_cell_angle_alpha 90.00
_cell_angle_beta 90.00
_cell_angle_gamma 90.00
loop_
_atom_site_label
_atom_site_fract_x
_atom_site_fract_y
_atom_site_fract_z
Cs1 0.0000 0.0000 0.0000
Nb1 0.5000 0.5000 0.5000
Te1 0.0000 0.0000 0.5000
```

Values from the calculation:
* N(E_F): 5.84 states/eV/cell
* crystal system: cubic
* energy: -2.66 eV/atom